# 1
## HfGaRh (SCAN)

Data for a PBEsol-optimized structure of HfGaRh.

## Properties
E	-38.562	eV per atom
DOS at the Fermi energy	5.83	states/eV per cell
total moment	0.00	μB/atom

Lattice parameters (Å, degrees): 7.2254 7.2254 3.2073 90.00 90.00 120.00
Space group P-62m (No. 189)
One atom of each set of equivalent atoms:
Hf1 0.0000 0.6108 0.0000
Ga1 0.0000 0.2767 0.5000
Rh1 0.0000 0.0000 0.0000
Rh2 0.3333 0.6667 0.5000

# 2
## Mn2CoReIr (SCAN)

Data for a PBEsol-optimized structure of Mn2CoReIr.

## Properties
E	-37.650	eV per atom
DOS at the Fermi energy	5.13	states/eV per cell
total moment	1.42	μB/atom

Lattice parameters (Å, degrees): 4.495 4.495 4.374 90.00 90.00 90.00
Space group P4/mmm (No. 123)
One atom of each set of equivalent atoms:
Mn1 0.000 0.500 0.000
Co1 0.000 0.000 0.500
Re1 0.500 0.500 0.500
Ir1 0.000 0.000 0.000